This record from Alexandria via LeMat-Bulk describes NdDyY2S6 after structural relaxation. The functional is PBE-GGA.

Space group: R3
Formation energy (no corrections) (eV per atom): -2.049

a b c (Å): 6.9907 6.9907 7.3996
angles (deg): 61.80 61.81 59.99
Positions (direct):
Nd 0.8106 0.8107 0.5680
Dy 0.3156 0.3156 0.0531
Y 0.5179 0.5178 0.4465
Y 0.0148 0.0148 0.9556
S 0.6149 0.2223 0.2474
S 0.2222 0.9154 0.2474
S 0.9154 0.6149 0.2475
S 0.4000 0.7195 0.7498
S 0.7195 0.1305 0.7499
S 0.1306 0.4001 0.7499

This record from Alexandria via LeMat-Bulk describes SrLa2SnH after structural relaxation. The functional is PBE-GGA.

Space group: P4/mmm
Final energy (Ry/atom): -0.30989

a b c (Å): 5.0540 5.0540 5.3048
angles (deg): 90.00 90.00 90.00
Positions (direct):
Sr 0.0000 0.0000 0.5000
Sn 0.5000 0.5000 0.5000
H 0.0000 0.0000 0.0000
La 0.0000 0.5000 0.0000
La 0.5000 0.0000 0.0000

This record from Alexandria via LeMat-Bulk describes CdCu after structural relaxation. The functional is PBE-GGA.

ΔH_f (0 K) (eV/atom): 0.039
Space group: P4/nmm

a b c (Å): 3.1883 3.1883 6.5613
angles (deg): 90.00 90.00 90.00
Positions (direct):
Cu 0.2500 0.2500 0.5887
Cu 0.7500 0.7500 0.4113
Cd 0.2500 0.2500 0.1613
Cd 0.7500 0.7500 0.8387

This record from Alexandria via LeMat-Bulk describes Na2Sc2OsO6 after structural relaxation. The functional is PBE-GGA.

Space group: C2/m
Formation energy (no corrections) (eV per atom): -2.238

a b c (Å): 5.4062 5.4062 5.8665
angles (deg): 98.57 98.57 119.93
Each line ends with the local moment (μB).
Positions (direct):
Na 0.8376 0.1624 0.0000  0.00
Na 0.1624 0.8376 0.0000  0.00
Sc 0.3380 0.6620 0.5000  0.01
Sc 0.6620 0.3380 0.5000  0.01
Os 0.0000 0.0000 0.5000  1.43
O 0.7414 0.7414 0.7017  0.04
O 0.0528 0.3821 0.6929  0.08
O 0.2586 0.2586 0.2983  0.04
O 0.3821 0.0528 0.6929  0.08
O 0.9472 0.6179 0.3071  0.08
O 0.6179 0.9472 0.3071  0.08

This record from Alexandria via LeMat-Bulk describes Ac3CePb3 after structural relaxation. The functional is PBE-GGA.

ΔH_f (0 K) (eV/atom): -0.317
Space group: C2/m

a b c (Å): 7.2671 7.2671 10.1671
angles (deg): 90.34 90.34 102.02
Each line ends with the local moment (μB).
Positions (direct):
Ac 0.5720 0.5720 0.3036  0.03
Ac 0.1851 0.8149 0.5000  0.00
Ac 0.8149 0.1851 0.5000  0.00
Ac 0.2466 0.7534 0.0000  0.11
Ac 0.7534 0.2466 0.0000  0.11
Ac 0.4280 0.4280 0.6964  0.03
Ce 0.7533 0.7533 0.9644  0.95
Ce 0.2467 0.2467 0.0356  0.95
Pb 0.9594 0.9594 0.2316  0.00
Pb 0.9651 0.5209 0.7450  -0.01
Pb 0.5209 0.9651 0.7450  -0.01
Pb 0.0349 0.4791 0.2550  -0.01
Pb 0.4791 0.0349 0.2550  -0.01
Pb 0.0406 0.0406 0.7684  0.00

This record from Alexandria via LeMat-Bulk describes Cr2SiBr after structural relaxation. The functional is PBE-GGA.

Space group: R-3m
Relative energy among the computed polymorphs (meV/atom): 37
Formation energy (no corrections) (eV per atom): 0.184

a b c (Å): 6.7165 6.7165 6.7165
angles (deg): 31.88 31.88 31.88
Each line ends with the local moment (μB).
Positions (direct):
Br 0.7500 0.7500 0.7500  0.00
Cr 0.9803 0.9803 0.9803  3.27
Cr 0.5197 0.5197 0.5197  3.27
Si 0.2500 0.2500 0.2500  -0.23

This record from Alexandria via LeMat-Bulk describes TmNi4Sn4 after structural relaxation. The functional is PBE-GGA.

ΔH_f (0 K) (eV/atom): -0.161
Space group: P4_2/n

a b c (Å): 5.1189 8.3978 8.3978
angles (deg): 90.00 90.00 90.00
Positions (direct):
Tm 0.0000 0.0000 0.0000
Tm 0.5000 0.5000 0.5000
Ni 0.5999 0.7973 0.3570
Ni 0.5999 0.2027 0.6430
Ni 0.0999 0.8570 0.7027
Ni 0.9001 0.2973 0.8570
Ni 0.9001 0.7027 0.1430
Ni 0.4001 0.3570 0.2027
Ni 0.4001 0.6430 0.7973
Ni 0.0999 0.1430 0.2973
Sn 0.4027 0.3425 0.8885
Sn 0.9027 0.6115 0.8425
Sn 0.4027 0.6575 0.1115
Sn 0.0973 0.1575 0.6115
Sn 0.5973 0.8885 0.6575
Sn 0.0973 0.8425 0.3885
Sn 0.9027 0.3885 0.1575
Sn 0.5973 0.1115 0.3425

This record from Alexandria via LeMat-Bulk describes Sr2ErIr3O12 after structural relaxation. The functional is PBE-GGA.

Space group: R-3m
Formation energy (no corrections) (eV per atom): -1.515

a b c (Å): 6.6883 6.6883 6.6883
angles (deg): 65.97 65.97 65.97
Positions (direct):
Sr 0.6132 0.6132 0.6132
Sr 0.3868 0.3868 0.3868
Er 0.0000 0.0000 0.0000
Ir 0.5000 0.0000 0.0000
Ir 0.0000 0.5000 0.0000
Ir 0.0000 0.0000 0.5000
O 0.2952 0.2952 0.8724
O 0.8663 0.8663 0.4024
O 0.4024 0.8663 0.8663
O 0.8724 0.2952 0.2952
O 0.8663 0.4024 0.8663
O 0.2952 0.8724 0.2952
O 0.7048 0.7048 0.1276
O 0.1337 0.1337 0.5976
O 0.5976 0.1337 0.1337
O 0.1276 0.7048 0.7048
O 0.1337 0.5976 0.1337
O 0.7048 0.1276 0.7048